Entry 1:
VASP calculation (GGA+U) on MgNiI2O8 after structural relaxation.

Summary:
* total energy: -52.87 eV for the cell shown

abc: 5.9331 5.9331 5.9331
angles: 108.81 108.81 110.81
Each line ends with the local moment (μB).
Positions (direct):
Mg  0.0000  0.0000  0.0000  0.01
Ni  0.2500  0.7500  0.5000  1.79
I  0.7500  0.2500  0.5000  0.06
I  0.5000  0.5000  0.0000  -0.02
O  0.3620  0.0575  0.3045  0.11
O  0.2999  0.4965  0.1966  -0.07
O  0.2999  0.1034  0.8034  -0.07
O  0.7530  0.0575  0.6955  0.11
O  0.8966  0.7001  0.1966  -0.07
O  0.9425  0.2470  0.3045  0.11
O  0.9425  0.6380  0.6955  0.11
O  0.5035  0.7001  0.8034  -0.07

Entry 2:
VASP calculation (GGA+U) on MgNiI2O after structural relaxation.

Summary:
* energy above the lowest structure with this stoichiometry: 0 meV/atom

abc: 5.8558 5.8558 3.7143
angles: 90.00 90.00 90.00
Each line ends with the local moment (μB).
Positions (direct):
I  0.0000  0.5000  0.0000  0.09
I  0.5000  0.0000  0.0000  0.09
Ni  0.5000  0.5000  0.5000  0.98
Mg  0.0000  0.0000  0.0000  -0.01
O  0.0000  0.0000  0.5000  0.41

Entry 3:
VASP calculation (GGA+U) on MgNi2IO6 after structural relaxation.

Summary:
* total energy: -43.94 eV for the cell shown

abc: 4.4061 5.8068 5.8068
angles: 90.00 90.00 90.00
Each line ends with the local moment (μB).
Positions (direct):
Mg  0.6617  0.5000  0.5000  -0.01
Ni  0.8240  0.5000  0.0000  1.78
Ni  0.8240  0.0000  0.5000  1.78
I  0.6994  0.0000  0.0000  0.00
O  0.7386  0.2525  0.2525  0.09
O  0.7386  0.2525  0.7475  0.09
O  0.1926  0.5000  0.5000  0.76
O  0.2907  0.0000  0.0000  0.01
O  0.7386  0.7475  0.7475  0.09
O  0.7386  0.7475  0.2525  0.09

Entry 4:
VASP calculation (GGA+U) on MgNiI2O after structural relaxation.

Summary:
* energy above the lowest structure with this stoichiometry: 79 meV/atom

abc: 5.6449 5.6449 3.6831
angles: 90.00 90.00 90.00
Each line ends with the local moment (μB).
Positions (direct):
I  0.0000  0.5000  0.0000  0.08
I  0.5000  0.0000  0.0000  0.08
Ni  0.0000  0.0000  0.0000  1.51
Mg  0.5000  0.5000  0.5000  0.00
O  0.0000  0.0000  0.5000  0.55